# 1
## Li2YWO6 (PBE with a Hubbard U)

Data for an optimized crystal structure of Li2YWO6.

Properties
**Symmetry**: No. 14

a b c (Å): 5.4647 5.4273 7.9151
angles (deg): 90.00 90.29 90.00
Site moments in Bohr magnetons follow the coordinates.
Fractional coordinates of all 20 atoms:
O  0.3154  0.6380  0.0560  0.13
O  0.1237  0.1727  0.0704  0.29
O  0.6846  0.3620  0.9440  0.13
O  0.1103  0.4264  0.7711  0.05
O  0.1846  0.1380  0.4440  0.13
O  0.8897  0.5736  0.2289  0.05
O  0.3897  0.9264  0.7289  0.05
O  0.6237  0.3273  0.5704  0.29
O  0.8763  0.8273  0.9296  0.29
O  0.6103  0.0736  0.2711  0.05
O  0.8154  0.8620  0.5560  0.13
O  0.3763  0.6727  0.4296  0.29
Li  0.0318  0.0216  0.7395  0.00
Li  0.5318  0.4784  0.2395  0.00
Li  0.9682  0.9784  0.2605  0.00
Li  0.4682  0.5216  0.7605  0.00
Y  0.0000  0.5000  0.5000  0.00
Y  0.5000  0.0000  0.0000  0.00
W  0.0000  0.5000  0.0000  -0.08
W  0.5000  0.0000  0.5000  -0.08



# 2
## Li2Zn2W2O9 (PBE with a Hubbard U)

Data for an optimized crystal structure of Li2Zn2W2O9.

Properties
**Symmetry**: No. 165

a b c (Å): 5.2248 5.2248 14.4292
angles (deg): 90.00 90.00 120.00
Fractional coordinates of all 30 atoms:
O  0.3036  0.9720  0.4121
O  0.7181  0.0000  0.2500
O  0.0280  0.6964  0.9121
O  0.6684  0.6964  0.4121
O  0.3316  0.3036  0.5879
O  0.2819  0.0000  0.7500
O  0.6964  0.6684  0.0879
O  0.3036  0.3316  0.9121
O  0.9720  0.3036  0.0879
O  0.9720  0.6684  0.5879
O  0.0000  0.2819  0.7500
O  0.6964  0.0280  0.5879
O  0.0280  0.3316  0.4121
O  0.6684  0.9720  0.9121
O  0.3316  0.0280  0.0879
O  0.0000  0.7181  0.2500
O  0.7181  0.7181  0.7500
O  0.2819  0.2819  0.2500
Zn  0.3333  0.6667  0.3070
Zn  0.3333  0.6667  0.8070
Zn  0.6667  0.3333  0.1930
Zn  0.6667  0.3333  0.6930
W  0.0000  0.0000  0.8588
W  0.0000  0.0000  0.3588
W  0.0000  0.0000  0.6412
W  0.0000  0.0000  0.1412
Li  0.6667  0.3333  0.9842
Li  0.3333  0.6667  0.0158
Li  0.3333  0.6667  0.5158
Li  0.6667  0.3333  0.4842



# 3
## LiZnW2O8 (PBE with a Hubbard U)

Data for an optimized crystal structure of LiZnW2O8.

Properties
**Symmetry**: No. 119

a b c (Å): 6.1345 6.1345 6.1345
angles (deg): 117.27 117.27 94.79
Site moments in Bohr magnetons follow the coordinates.
Fractional coordinates of all 12 atoms:
O  0.8584  0.1250  0.7334  0.21
O  0.3753  0.1413  0.7660  0.05
O  0.3908  0.6247  0.7660  0.05
O  0.8587  0.6247  0.2340  0.05
O  0.8750  0.1416  0.2666  0.21
O  0.3753  0.6092  0.2340  0.05
O  0.8750  0.6084  0.7334  0.21
O  0.3916  0.1250  0.2666  0.21
W  0.5000  0.5000  0.0000  -0.02
W  0.7500  0.2500  0.5000  -0.13
Li  0.0000  0.0000  0.0000  0.00
Zn  0.2500  0.7500  0.5000  0.00



# 4
## LiZrWO6 (PBE with a Hubbard U)

Data for an optimized crystal structure of LiZrWO6.

Properties
**Symmetry**: No. 163

a b c (Å): 5.4185 5.4185 9.0844
angles (deg): 90.00 90.00 120.00
Site moments in Bohr magnetons follow the coordinates.
Fractional coordinates of all 18 atoms:
O  0.9762  0.3470  0.6332  0.16
O  0.6292  0.6530  0.1332  0.16
O  0.3708  0.0238  0.6332  0.16
O  0.3470  0.3708  0.3668  0.16
O  0.3470  0.9762  0.1332  0.16
O  0.6530  0.0238  0.8668  0.16
O  0.3708  0.3470  0.8668  0.16
O  0.0238  0.3708  0.1332  0.16
O  0.6530  0.6292  0.6332  0.16
O  0.0238  0.6530  0.3668  0.16
O  0.9762  0.6292  0.8668  0.16
O  0.6292  0.9762  0.3668  0.16
W  0.6667  0.3333  0.7500  -0.10
W  0.3333  0.6667  0.2500  -0.10
Zr  0.6667  0.3333  0.2500  -0.03
Zr  0.3333  0.6667  0.7500  -0.03
Li  0.0000  0.0000  0.0000  0.00
Li  0.0000  0.0000  0.5000  0.00



# 5
## Li2ZrWO6 (PBE with a Hubbard U)

Data for an optimized crystal structure of Li2ZrWO6.

Properties
**Symmetry**: No. 99

a b c (Å): 4.1221 5.7009 5.7009
angles (deg): 90.00 90.00 90.00
Fractional coordinates of all 10 atoms:
Li  0.9037  0.5000  0.0000
Li  0.9037  0.0000  0.5000
O  0.1920  0.5000  0.5000
O  0.2146  0.0000  0.0000
O  0.7289  0.2364  0.2364
O  0.7289  0.7636  0.7636
O  0.7289  0.2364  0.7636
O  0.7289  0.7636  0.2364
Zr  0.6653  0.5000  0.5000
W  0.6520  0.0000  0.0000



| no. | uncorrected energy (eV/cell) | size of the total moment (Bohr magnetons per cell) |
| --- | --- | --- |
| 1 | -139.50 | 2.07 |
| 2 | -187.09 | 0.00 |
| 3 | -76.37 | 1.09 |
| 4 | -133.47 | 2.10 |
| 5 | -73.07 | 0.00 |